Be2TlCo: optimized geometry, PBE.

Cell and atoms, written as POSCAR:
```
Be2TlCo
1.0
2.8942 0.0000 0.0000
0.0000 2.8942 0.0000
0.0000 0.0000 6.2951
Be Tl Co
2 1 1
direct
0.0000 0.0000 0.1639
0.0000 0.0000 0.8361
0.5000 0.5000 0.5000
0.5000 0.5000 0.0000
```

Values from the calculation:
Energy of formation in eV/atom: 0.254
Space-group type: P4/mmm (123)
Relative energy among the computed polymorphs in meV per atom: 51
DFT total energy in eV/atom: -3.977